(1)
A relaxed structure of Sm4In2O. Source: Alexandria, functional PBE.

Unit cell a=4.7667 b=4.7667 c=9.0296 alpha=74.70 beta=74.70 gamma=90.00
Closest atoms and distances in Å follow each position.
Element x y z (fractional)
O 0.0000 0.0000 0.0000  4 Sm 2.38
Sm 0.8287 0.8287 0.3427  1 O 2.87, 1 In 3.19
Sm 0.1713 0.1713 0.6573  1 O 2.87, 1 In 3.19
Sm 0.0000 0.5000 0.0000  2 O 2.38
Sm 0.5000 0.0000 0.0000  2 O 2.38
In 0.6382 0.6382 0.7237  9 Sm 3.19-3.42
In 0.3618 0.3618 0.2763  9 Sm 3.19-3.42

Summary:
- density (g cm⁻³) = 7.390
- size of the total moment (μB per cell) = 0.0
- energy relative to the lowest polymorph listed for this composition (meV/atom) = 0.0

---

(2)
A relaxed structure of Sm6In3O. Source: Alexandria, functional PBE.

Unit cell a=7.2548 b=6.7016 c=6.7016 alpha=60.26 beta=82.66 gamma=82.66
Closest atoms and distances in Å follow each position.
Element x y z (fractional)
Sm 0.3573 0.1475 0.6350  1 O 2.40
Sm 0.6427 0.3650 0.8525  1 O 2.40
Sm 0.6427 0.8525 0.3650  1 O 2.40
Sm 0.3573 0.6350 0.1475  1 O 2.40
Sm 0.1317 0.6512 0.6512  1 O 2.97, 1 In 3.32
Sm 0.8683 0.3488 0.3488  1 O 2.97, 1 In 3.32
In 0.2634 0.1628 0.1628  1 In 2.88
In 0.7366 0.8372 0.8372  1 In 2.88
In 0.0000 0.0000 0.0000  2 In 2.88, 4 Sm 3.21
O 0.5000 0.5000 0.5000  4 Sm 2.40

Summary:
- density (g cm⁻³) = 7.493
- size of the total moment (μB per cell) = 0.0

---

(3)
A relaxed structure of Sm2InO. Source: Alexandria, functional PBE.

Unit cell a=3.6547 b=3.6547 c=8.1068 alpha=76.97 beta=76.97 gamma=60.00
Closest atoms and distances in Å follow each position.
Element x y z (fractional)
O 0.0000 0.0000 0.0000  6 Sm 2.50
Sm 0.2761 0.2761 0.1718  3 O 2.50
Sm 0.7239 0.7239 0.8282  3 O 2.50
In 0.5000 0.5000 0.5000  6 Sm 3.32, 6 In 3.65

Summary:
- density (g cm⁻³) = 7.914
- size of the total moment (μB per cell) = 0.0
- energy relative to the lowest polymorph listed for this composition (meV/atom) = 40.6

---

(4)
A relaxed structure of Sm3In5O12. Source: Alexandria, functional PBE.

Unit cell a=11.5015 b=11.5015 c=11.5015 alpha=109.47 beta=109.47 gamma=109.47
Closest atoms and distances in Å follow each position.
Element x y z (fractional)
Sm 0.7500 0.3750 0.1250  8 O 2.48-2.54
Sm 0.8750 0.7500 0.1250  8 O 2.48-2.54
Sm 0.3750 0.7500 0.6250  8 O 2.48-2.54
Sm 0.2500 0.1250 0.3750  8 O 2.48-2.54
Sm 0.8750 0.1250 0.2500  8 O 2.48-2.54
Sm 0.3750 0.6250 0.2500  8 O 2.48-2.54
Sm 0.6250 0.3750 0.7500  8 O 2.48-2.54
Sm 0.1250 0.8750 0.7500  8 O 2.48-2.54
Sm 0.7500 0.8750 0.6250  8 O 2.48-2.54
Sm 0.6250 0.2500 0.3750  8 O 2.48-2.54
Sm 0.1250 0.2500 0.8750  8 O 2.48-2.54
Sm 0.2500 0.6250 0.8750  8 O 2.48-2.54
In 0.1250 0.3750 0.2500  4 O 2.07
In 0.0000 0.5000 0.0000  6 O 2.20
In 0.0000 0.0000 0.0000  6 O 2.20
In 0.3750 0.2500 0.1250  4 O 2.07
In 0.5000 0.0000 0.5000  6 O 2.20
In 0.5000 0.5000 0.0000  6 O 2.20
In 0.1250 0.7500 0.3750  4 O 2.07
In 0.7500 0.1250 0.8750  4 O 2.07
In 0.7500 0.6250 0.3750  4 O 2.07
In 0.3750 0.1250 0.7500  4 O 2.07
In 0.6250 0.8750 0.2500  4 O 2.07
In 0.5000 0.5000 0.5000  6 O 2.20
In 0.5000 0.0000 0.0000  6 O 2.20
In 0.0000 0.0000 0.5000  6 O 2.20
In 0.2500 0.3750 0.6250  4 O 2.07
In 0.2500 0.8750 0.1250  4 O 2.07
In 0.0000 0.5000 0.5000  6 O 2.20
In 0.8750 0.2500 0.6250  4 O 2.07
In 0.6250 0.7500 0.8750  4 O 2.07
In 0.8750 0.6250 0.7500  4 O 2.07
O 0.7143 0.1307 0.0408  2 In 2.07-2.20
O 0.3266 0.5408 0.4102  2 In 2.07-2.20
O 0.9592 0.3693 0.2857  2 In 2.07-2.20
O 0.5408 0.2143 0.1307  2 In 2.07-2.20
O 0.5836 0.7143 0.6734  2 In 2.07-2.20
O 0.9592 0.5898 0.1734  2 In 2.07-2.20
O 0.3266 0.7857 0.4164  2 In 2.07-2.20
O 0.0898 0.9164 0.1307  2 In 2.07-2.20
O 0.5898 0.9592 0.6734  2 In 2.07-2.20
O 0.7143 0.5836 0.1734  2 In 2.07-2.20
O 0.7857 0.4592 0.3693  2 In 2.07-2.20
O 0.8266 0.9102 0.0408  2 In 2.07-2.20
O 0.1307 0.7143 0.5408  2 In 2.07-2.20
O 0.3693 0.4102 0.0836  2 In 2.07-2.20
O 0.0836 0.9102 0.3693  2 In 2.07-2.20
O 0.4164 0.1307 0.5898  2 In 2.07-2.20
O 0.0836 0.1734 0.2143  2 In 2.07-2.20
O 0.4592 0.6734 0.0898  2 In 2.07-2.20
O 0.8266 0.9164 0.2857  2 In 2.07-2.20
O 0.1307 0.4164 0.0898  2 In 2.07-2.20
O 0.3693 0.9592 0.7857  2 In 2.07-2.20
O 0.5898 0.6307 0.4164  2 In 2.07-2.20
O 0.9102 0.8266 0.5408  2 In 2.07-2.20
O 0.7857 0.3266 0.9164  2 In 2.07-2.20
O 0.4102 0.3693 0.5836  2 In 2.07-2.20
O 0.0898 0.1734 0.4592  2 In 2.07-2.20
O 0.2143 0.6734 0.0836  2 In 2.07-2.20
O 0.1734 0.0836 0.7143  2 In 2.07-2.20
O 0.6307 0.0408 0.2143  2 In 2.07-2.20
O 0.8693 0.5836 0.9102  2 In 2.07-2.20
O 0.5408 0.3266 0.9102  2 In 2.07-2.20
O 0.5836 0.8693 0.4102  2 In 2.07-2.20
O 0.9164 0.8266 0.7857  2 In 2.07-2.20
O 0.9164 0.0898 0.6307  2 In 2.07-2.20
O 0.8693 0.2857 0.4592  2 In 2.07-2.20
O 0.1734 0.0898 0.9592  2 In 2.07-2.20
O 0.6307 0.5898 0.9164  2 In 2.07-2.20
O 0.4102 0.0408 0.3266  2 In 2.07-2.20
O 0.2857 0.4164 0.8266  2 In 2.07-2.20
O 0.2143 0.5408 0.6307  2 In 2.07-2.20
O 0.9102 0.0836 0.8693  2 In 2.07-2.20
O 0.6734 0.2143 0.5836  2 In 2.07-2.20
O 0.4592 0.7857 0.8693  2 In 2.07-2.20
O 0.0408 0.4102 0.8266  2 In 2.07-2.20
O 0.4164 0.2857 0.3266  2 In 2.07-2.20
O 0.0408 0.6307 0.7143  2 In 2.07-2.20
O 0.6734 0.4592 0.5898  2 In 2.07-2.20
O 0.2857 0.8693 0.9592  2 In 2.07-2.20

Summary:
- density (g cm⁻³) = 6.903
- size of the total moment (μB per cell) = 0.0

---

(5)
A relaxed structure of SmInO. Source: Alexandria, functional PBE.

Unit cell a=3.8653 b=3.8653 c=10.6543 alpha=79.55 beta=79.55 gamma=60.00
Closest atoms and distances in Å follow each position.
Element x y z (fractional)
O 0.3045 0.3045 0.0864  4 Sm 2.31-2.39
O 0.6955 0.6955 0.9136  4 Sm 2.31-2.39
In 0.1332 0.1332 0.6003  3 In 3.06
In 0.8668 0.8668 0.3997  3 In 3.06
Sm 0.3811 0.3811 0.8568  4 O 2.31-2.39
Sm 0.6189 0.6189 0.1432  4 O 2.31-2.39

Summary:
- density (g cm⁻³) = 6.927
- size of the total moment (μB per cell) = 0.0

---

(6)
A relaxed structure of Sm7In3O2. Source: Alexandria, functional PBE.

Unit cell a=4.8043 b=4.9484 c=12.6789 alpha=101.25 beta=90.00 gamma=90.00
Closest atoms and distances in Å follow each position.
Element x y z (fractional)
Sm 0.0000 0.3974 0.7948  2 O 2.48
Sm 0.0000 0.7993 0.5986  1 O 2.51
Sm 0.0000 0.0000 0.0000  2 O 2.48
Sm 0.0000 0.6026 0.2052  2 O 2.48
Sm 0.5000 0.0959 0.1917  2 O 2.40
Sm 0.5000 0.9041 0.8083  2 O 2.40
Sm 0.0000 0.2007 0.4014  1 O 2.51
In 0.5000 0.5000 0.0000  12 Sm 3.44-3.50
In 0.5000 0.6945 0.3890  10 Sm 3.32-3.54, 2 In 3.71
In 0.5000 0.3055 0.6110  10 Sm 3.32-3.54, 2 In 3.71
O 0.0000 0.9001 0.8002  6 Sm 2.40-2.51
O 0.0000 0.0999 0.1998  6 Sm 2.40-2.51

Summary:
- density (g cm⁻³) = 8.026
- size of the total moment (μB per cell) = 0.0

---

(7)
A relaxed structure of SmInO3. Source: Alexandria, functional PBE.

Unit cell a=5.7828 b=5.7828 c=6.0675 alpha=61.54 beta=61.54 gamma=60.00
Closest atoms and distances in Å follow each position.
Element x y z (fractional)
Sm 0.3640 0.3640 0.9079  6 O 2.29-2.45
Sm 0.6360 0.6360 0.0921  6 O 2.29-2.45
In 0.8529 0.8528 0.4415  6 O 2.19-2.29
In 0.1471 0.1472 0.5585  6 O 2.19-2.29
O 0.7710 0.4491 0.7435  2 In 2.19-2.29, 1 Sm 2.29
O 0.0365 0.7710 0.7434  2 In 2.19-2.29, 1 Sm 2.29
O 0.4491 0.0365 0.7434  2 In 2.19-2.29, 1 Sm 2.29
O 0.2290 0.5509 0.2565  2 In 2.19-2.29, 1 Sm 2.29
O 0.9635 0.2290 0.2566  2 In 2.19-2.29, 1 Sm 2.29
O 0.5510 0.9635 0.2566  2 In 2.19-2.29, 1 Sm 2.29

Summary:
- density (g cm⁻³) = 7.089
- size of the total moment (μB per cell) = 0.0

---

(8)
A relaxed structure of Sm6In2O. Source: Alexandria, functional PBE.

Unit cell a=7.0247 b=7.0247 c=7.0250 alpha=60.00 beta=60.00 gamma=60.00
Closest atoms and distances in Å follow each position.
Element x y z (fractional)
Sm 0.2534 0.2534 0.7461  1 O 2.45
Sm 0.2537 0.7467 0.2532  1 O 2.45
Sm 0.7463 0.2533 0.7468  1 O 2.45
Sm 0.7467 0.2537 0.2532  1 O 2.45
Sm 0.2533 0.7463 0.7468  1 O 2.45
Sm 0.7466 0.7466 0.2539  1 O 2.45
In 0.2500 0.2500 0.2498  12 Sm 3.51-3.52
In 0.7500 0.7500 0.7502  12 Sm 3.51-3.52
O 0.5000 0.5000 0.5000  6 Sm 2.45

Summary:
- density (g cm⁻³) = 7.776
- size of the total moment (μB per cell) = 0.0

---

Taking the records one at a time from the top gives formation energy (no corrections) values of -1071; -746; -1558; -2223; -1987; -1238; -2446; -846 meV per atom.